# Pa3PN3 GGA-PBE optimized geometry
data_Pa3PN3
_chemical_formula_sum 'Pa18 P6 N18'
_space_group_name_H-M_alt 'R -3'
_space_group_IT_number 148
_space_group_name_Hall '-R 3'
_cell_length_a 6.6768
_cell_length_b 6.6768
_cell_length_c 19.6872
_cell_angle_alpha 90.00
_cell_angle_beta 90.00
_cell_angle_gamma 120.00
loop_
_atom_site_label
_atom_site_type_symbol
_atom_site_fract_x
_atom_site_fract_y
_atom_site_fract_z
Pa1 Pa 0.0012 0.6588 0.4066
P1 P 0.0000 0.0000 0.1665
N1 N 0.0030 0.6783 0.6239
# Spin magnetization: 0.05 Bohr magnetons per cell
# VASP energy: -9.95 eV per atom

=====

# YFeAsAu GGA-PBE optimized geometry
data_YFeAsAu
_chemical_formula_sum 'Y4 Fe4 As4 Au4'
_space_group_name_H-M_alt 'F -4 3 m'
_space_group_IT_number 216
_space_group_name_Hall 'F -4 2 3'
_cell_length_a 6.6408
_cell_length_b 6.6408
_cell_length_c 6.6408
_cell_angle_alpha 90.00
_cell_angle_beta 90.00
_cell_angle_gamma 90.00
loop_
_atom_site_label
_atom_site_type_symbol
_atom_site_fract_x
_atom_site_fract_y
_atom_site_fract_z
Y1 Y 0.0000 0.0000 0.0000
Fe1 Fe 0.2500 0.2500 0.7500
As1 As 0.0000 0.0000 0.5000
Au1 Au 0.2500 0.2500 0.2500
# Spin magnetization: 8.77 Bohr magnetons per cell
# Distance to the lowest polymorph of the same formula: 0.99 eV/f.u.
# VASP energy: -5.74 eV per atom

=====

# PmYCu GGA-PBE optimized geometry
data_PmYCu
_chemical_formula_sum 'Pm4 Y4 Cu4'
_space_group_name_H-M_alt 'F -4 3 m'
_space_group_IT_number 216
_space_group_name_Hall 'F -4 2 3'
_cell_length_a 6.8341
_cell_length_b 6.8341
_cell_length_c 6.8341
_cell_angle_alpha 90.00
_cell_angle_beta 90.00
_cell_angle_gamma 90.00
loop_
_atom_site_label
_atom_site_type_symbol
_atom_site_fract_x
_atom_site_fract_y
_atom_site_fract_z
Pm1 Pm 0.0000 0.0000 0.0000
Y1 Y 0.2500 0.2500 0.7500
Cu1 Cu 0.0000 0.0000 0.5000
# ΔE_f: 2.0 eV/f.u.
# Spin magnetization: 0.00 Bohr magnetons per cell
# VASP energy: -4.32 eV per atom

=====

# KHoO3 GGA-PBE optimized geometry
data_KHoO3
_chemical_formula_sum 'K4 Ho4 O12'
_space_group_name_H-M_alt 'P n m a'
_space_group_IT_number 62
_space_group_name_Hall '-P 2ac 2n'
_cell_length_a 5.9039
_cell_length_b 10.2163
_cell_length_c 5.9286
_cell_angle_alpha 90.00
_cell_angle_beta 90.00
_cell_angle_gamma 90.00
loop_
_atom_site_label
_atom_site_type_symbol
_atom_site_fract_x
_atom_site_fract_y
_atom_site_fract_z
K1 K 0.0000 0.0000 0.0000
Ho1 Ho 0.0178 0.2500 0.4605
O1 O 0.2212 0.7500 0.2412
O2 O 0.2389 0.6396 0.7407
# Spin magnetization: 8.00 Bohr magnetons per cell
# VASP energy: -5.91 eV per atom

=====

# Hf4Sn2CN GGA-PBE optimized geometry
data_Hf4Sn2CN
_chemical_formula_sum 'Hf4 Sn2 C1 N1'
_space_group_name_H-M_alt 'P -3 m 1'
_space_group_IT_number 164
_space_group_name_Hall '-P 3 2"'
_cell_length_a 3.2981
_cell_length_b 3.2981
_cell_length_c 14.5102
_cell_angle_alpha 90.00
_cell_angle_beta 90.00
_cell_angle_gamma 120.00
loop_
_atom_site_label
_atom_site_type_symbol
_atom_site_fract_x
_atom_site_fract_y
_atom_site_fract_z
Hf1 Hf 0.3333 0.6667 0.0855
Hf2 Hf 0.3333 0.6667 0.4149
Sn1 Sn 0.3333 0.6667 0.7489
C1 C 0.0000 0.0000 0.0000
N1 N 0.0000 0.0000 0.5000
# Spin magnetization: 0.00 Bohr magnetons per cell
# VASP energy: -9.07 eV per atom

=====

# CdGa2Sb GGA-PBE optimized geometry
data_CdGa2Sb
_chemical_formula_sum 'Cd4 Ga8 Sb4'
_space_group_name_H-M_alt 'F -4 3 m'
_space_group_IT_number 216
_space_group_name_Hall 'F -4 2 3'
_cell_length_a 7.1612
_cell_length_b 7.1612
_cell_length_c 7.1612
_cell_angle_alpha 90.00
_cell_angle_beta 90.00
_cell_angle_gamma 90.00
loop_
_atom_site_label
_atom_site_type_symbol
_atom_site_fract_x
_atom_site_fract_y
_atom_site_fract_z
Cd1 Cd 0.0000 0.0000 0.0000
Ga1 Ga 0.0000 0.0000 0.5000
Ga2 Ga 0.2500 0.2500 0.2500
Sb1 Sb 0.2500 0.2500 0.7500
# VASP energy: -2.67 eV per atom

=====

# Ac5AgSe8 GGA-PBE optimized geometry
data_Ac5AgSe8
_chemical_formula_sum 'Ac10 Ag2 Se16'
_space_group_name_H-M_alt 'I -4'
_space_group_IT_number 82
_space_group_name_Hall 'I -4'
_cell_length_a 9.2953
_cell_length_b 9.2953
_cell_length_c 9.4486
_cell_angle_alpha 90.00
_cell_angle_beta 90.00
_cell_angle_gamma 90.00
loop_
_atom_site_label
_atom_site_type_symbol
_atom_site_fract_x
_atom_site_fract_y
_atom_site_fract_z
Ac1 Ac 0.0000 0.0000 0.0000
Ac2 Ac 0.1310 0.2497 0.3822
Ag1 Ag 0.0000 0.5000 0.7500
Se1 Se 0.0678 0.1828 0.7065
Se2 Se 0.0789 0.3199 0.0640
# Spin magnetization: 0.02 Bohr magnetons per cell
# VASP energy: -5.47 eV per atom

=====

# K2Ta GGA-PBE optimized geometry
data_K2Ta
_chemical_formula_sum 'K8 Ta4'
_space_group_name_H-M_alt 'F m -3 m'
_space_group_IT_number 225
_space_group_name_Hall '-F 4 2 3'
_cell_length_a 8.5647
_cell_length_b 8.5647
_cell_length_c 8.5647
_cell_angle_alpha 90.00
_cell_angle_beta 90.00
_cell_angle_gamma 90.00
loop_
_atom_site_label
_atom_site_type_symbol
_atom_site_fract_x
_atom_site_fract_y
_atom_site_fract_z
K1 K 0.2500 0.2500 0.2500
Ta1 Ta 0.0000 0.0000 0.0000
# Spin magnetization: 19.99 Bohr magnetons per cell
# Distance to the lowest polymorph of the same formula: 1.62 eV/f.u.
# VASP energy: -2.70 eV per atom

=====

# K3Li2ReO6 GGA-PBE optimized geometry
data_K3Li2ReO6
_chemical_formula_sum 'K6 Li4 Re2 O12'
_space_group_name_H-M_alt 'C 1 2/m 1'
_space_group_IT_number 12
_space_group_name_Hall '-C 2y'
_cell_length_a 6.2104
_cell_length_b 11.0653
_cell_length_c 5.2189
_cell_angle_alpha 90.00
_cell_angle_beta 104.76
_cell_angle_gamma 90.00
loop_
_atom_site_label
_atom_site_type_symbol
_atom_site_fract_x
_atom_site_fract_y
_atom_site_fract_z
K1 K 0.0000 0.0000 0.0000
K2 K 0.0000 0.1759 0.5000
Li1 Li 0.0000 0.3925 0.0000
Re1 Re 0.0000 0.5000 0.5000
O1 O 0.1662 0.3773 0.7229
O2 O 0.2014 0.5000 0.2765
# Spin magnetization: 0.00 Bohr magnetons per cell
# Distance to the lowest polymorph of the same formula: 0.00 eV/f.u.
# VASP energy: -5.85 eV per atom

=====

# Cs2Ho2AsP GGA-PBE optimized geometry
data_Cs2Ho2AsP
_chemical_formula_sum 'Cs2 Ho2 As1 P1'
_space_group_name_H-M_alt 'P 4 m m'
_space_group_IT_number 99
_space_group_name_Hall 'P 4 -2'
_cell_length_a 4.9388
_cell_length_b 4.9388
_cell_length_c 11.8045
_cell_angle_alpha 90.00
_cell_angle_beta 90.00
_cell_angle_gamma 90.00
loop_
_atom_site_label
_atom_site_type_symbol
_atom_site_fract_x
_atom_site_fract_y
_atom_site_fract_z
Cs1 Cs 0.0000 0.0000 0.0000
Cs2 Cs 0.5000 0.5000 0.3930
Ho1 Ho 0.0000 0.5000 0.6985
As1 As 0.5000 0.5000 0.8236
P1 P 0.0000 0.0000 0.5975
# Spin magnetization: 0.01 Bohr magnetons per cell
# VASP energy: -4.24 eV per atom

=====

# Hf2TaGe GGA-PBE optimized geometry
data_Hf2TaGe
_chemical_formula_sum 'Hf8 Ta4 Ge4'
_space_group_name_H-M_alt 'F -4 3 m'
_space_group_IT_number 216
_space_group_name_Hall 'F -4 2 3'
_cell_length_a 6.7038
_cell_length_b 6.7038
_cell_length_c 6.7038
_cell_angle_alpha 90.00
_cell_angle_beta 90.00
_cell_angle_gamma 90.00
loop_
_atom_site_label
_atom_site_type_symbol
_atom_site_fract_x
_atom_site_fract_y
_atom_site_fract_z
Hf1 Hf 0.0000 0.0000 0.0000
Hf2 Hf 0.2500 0.2500 0.2500
Ta1 Ta 0.2500 0.2500 0.7500
Ge1 Ge 0.0000 0.0000 0.5000
# Spin magnetization: 0.39 Bohr magnetons per cell
# VASP energy: -9.01 eV per atom

=====

# NdInI6 GGA-PBE optimized geometry
data_NdInI6
_chemical_formula_sum 'Nd2 In2 I12'
_space_group_name_H-M_alt 'C 1 2 1'
_space_group_IT_number 5
_space_group_name_Hall 'C 2y'
_cell_length_a 7.7134
_cell_length_b 13.3929
_cell_length_c 7.7220
_cell_angle_alpha 90.00
_cell_angle_beta 108.92
_cell_angle_gamma 90.00
loop_
_atom_site_label
_atom_site_type_symbol
_atom_site_fract_x
_atom_site_fract_y
_atom_site_fract_z
Nd1 Nd 0.0000 0.0000 0.0000
In1 In 0.0000 0.3315 0.0000
I1 I 0.2236 0.1739 0.2440
I2 I 0.2346 0.3375 0.7620
I3 I 0.2412 0.4851 0.2401
# Spin magnetization: 0.02 Bohr magnetons per cell
# VASP energy: -3.03 eV per atom

=====

Q: Among the records above, which one has the highest VASP energy?
A: CdGa2Sb